[1]
PBE BaY2PbO, optimized geometry; polymorph energy (0 for the lowest one) = 0.0 meV/atom; ρ = 6.8 g/cm3; symmetry = P4/mmm (123); formation energy without anion corrections = -1202 meV/atom
1.0
-4.5309 1.3540 -1.2885
-1.7361 -5.1255 0.7191
-1.0314 1.0066 4.6846
O Y Ba Pb
1 2 1 1
Cartesian
0.0000 0.0000 0.0000
-2.2655 0.6770 -0.6443
-0.5157 0.5033 2.3423
-0.8681 -2.5627 0.3596
-3.6492 -1.3824 2.0576

***

[2]
PBE ErZrZnAg, optimized geometry; ρ = 8.4 g/cm3; formation energy from the elements = -0.7 eV/f.u.; symmetry = F-43m (216)
1.0
4.9329 0.0000 0.0000
2.4665 4.2720 0.0000
2.4665 1.4240 4.0277
Er Zr Zn Ag
1 1 1 1
Cartesian
7.3994 4.2720 3.0208
2.4665 1.4240 1.0069
0.0000 0.0000 0.0000
4.9329 2.8480 2.0139